## A
ZnPbSO: optimized geometry, PBE.

Lattice parameters (Å, degrees): 8.033 8.033 5.831 90.00 90.00 155.16
Atoms (fractional coordinates):
Zn 0.171 0.829 0.500
Zn 0.829 0.171 0.000
Pb 0.427 0.573 0.536
Pb 0.573 0.427 0.036
S 0.194 0.806 0.898
S 0.806 0.194 0.398
O 0.384 0.616 0.904
O 0.616 0.384 0.404

***

## B
ZnPbSO: optimized geometry, PBE.

Lattice parameters (Å, degrees): 4.686 4.686 7.513 90.00 90.00 90.00
Atoms (fractional coordinates):
Zn 0.250 0.250 0.247
Zn 0.750 0.750 0.753
Pb 0.250 0.750 0.500
Pb 0.750 0.250 0.500
S 0.250 0.250 0.786
S 0.750 0.750 0.214
O 0.250 0.250 0.995
O 0.750 0.750 0.005

***

Quick one: least stable of them? B

***

## A
TbErPd2: optimized geometry, PBE.

Lattice parameters (Å, degrees): 4.448 5.670 6.917 90.00 90.00 90.00
Atoms (fractional coordinates):
Tb 0.000 0.109 0.000
Tb 0.000 0.891 0.500
Er 0.500 0.391 0.363
Er 0.500 0.609 0.863
Pd 0.000 0.406 0.639
Pd 0.000 0.594 0.139
Pd 0.500 0.097 0.723
Pd 0.500 0.903 0.223

***

## B
TbErPd2: optimized geometry, PBE.

Lattice parameters (Å, degrees): 5.565 4.590 6.895 90.00 90.72 90.00
Atoms (fractional coordinates):
Tb 0.146 0.250 0.183
Tb 0.854 0.750 0.817
Er 0.357 0.250 0.682
Er 0.643 0.750 0.318
Pd 0.157 0.750 0.462
Pd 0.347 0.750 0.954
Pd 0.653 0.250 0.046
Pd 0.843 0.250 0.538

***

Quick one: least stable of them? A